(1)
This record from the Alexandria database describes In2Pb after structural relaxation. The functional is GGA-PBEsol.

```
data_In2Pb
_symmetry_space_group_name_H-M 'P -3 m 1'
_symmetry_Int_Tables_number 164
_symmetry_space_group_name_Hall '-P 3 2"'
_cell_length_a 3.4403
_cell_length_b 3.4403
_cell_length_c 7.9066
_cell_angle_alpha 90.00
_cell_angle_beta 90.00
_cell_angle_gamma 120.00
loop_
_atom_site_label
_atom_site_type_symbol
_atom_site_fract_x
_atom_site_fract_y
_atom_site_fract_z
In1 In 0.3333 0.6667 0.3407
Pb1 Pb 0.0000 0.0000 0.0000
```

Summary:
- Fermi-level density of states: 1.28 states/eV/cell
- VASP energy: -9.92 eV/cell
- Excess energy over the best structure of this formula in the dataset: 0.005 eV/atom
- V: 27.01 A^3/atom
- Formation energy: 0.015 eV/atom

---

(2)
This record from the Alexandria database describes In2Pb after structural relaxation. The functional is GGA-PBEsol.

```
data_In2Pb
_symmetry_space_group_name_H-M 'P 6/m m m'
_symmetry_Int_Tables_number 191
_symmetry_space_group_name_Hall '-P 6 2'
_cell_length_a 5.3471
_cell_length_b 5.3471
_cell_length_c 3.2625
_cell_angle_alpha 90.00
_cell_angle_beta 90.00
_cell_angle_gamma 120.00
loop_
_atom_site_label
_atom_site_type_symbol
_atom_site_fract_x
_atom_site_fract_y
_atom_site_fract_z
In1 In 0.3333 0.6667 0.0000
Pb1 Pb 0.0000 0.0000 0.5000
```

Summary:
- Fermi-level density of states: 1.25 states/eV/cell
- VASP energy: -9.89 eV/cell
- Excess energy over the best structure of this formula in the dataset: 0.014 eV/atom
- V: 26.93 A^3/atom
- Formation energy: 0.025 eV/atom